No. 1
TlCu4Te after structural relaxation, computed with GGA-PBE.

a b c (Å): 7.3983 7.3983 7.3983
angles (deg): 90.00 90.00 90.00
Closest atoms and distances in Å follow each position.
Space group F-43m (No. 216)
Unique sites:
1 Tl 0.0000 0.0000 0.0000  12 Cu 3.07, 4 Te 3.20
2 Cu 0.1253 0.1253 0.6253  6 Cu 2.61-2.62
3 Te 0.2500 0.2500 0.2500  12 Cu 3.07, 4 Tl 3.20

Crystal system   cubic
E   -3.455 eV/atom
Formation energy (no corrections)   0.194 eV/atom
Calculated density   9.6 g/cm3

***

No. 2
RbNa2LiSi after structural relaxation, computed with GGA-PBE.

a b c (Å): 5.6788 5.6788 4.8504
angles (deg): 90.00 90.00 90.00
Closest atoms and distances in Å follow each position.
Space group P4/mmm (No. 123)
Unique sites:
1 Rb 0.0000 0.0000 0.0000  8 Na 3.73, 4 Si 4.02
2 Na 0.0000 0.5000 0.5000  2 Li 2.84
3 Li 0.5000 0.5000 0.5000  2 Si 2.43
4 Si 0.5000 0.5000 0.0000  2 Li 2.43

Crystal system   tetragonal
E   -1.986 eV/atom
Energy relative to the lowest polymorph listed for this composition   0.676 eV/f.u.
Formation energy (no corrections)   0.203 eV/atom
Calculated density   1.8 g/cm3

***

No. 3
LaCdCl after structural relaxation, computed with GGA-PBE.

a b c (Å): 7.2417 7.2417 7.2417
angles (deg): 90.00 90.00 90.00
Closest atoms and distances in Å follow each position.
Space group F-43m (No. 216)
Unique sites:
1 La 0.0000 0.0000 0.0000  4 Cd 3.14, 4 Cl 3.14
2 Cd 0.2500 0.2500 0.2500  4 La 3.14
3 Cl 0.2500 0.2500 0.7500  4 La 3.14

Crystal system   cubic
E   -3.156 eV/atom
Energy relative to the lowest polymorph listed for this composition   1.123 eV/f.u.
Formation energy (no corrections)   -0.593 eV/atom
Calculated density   5.0 g/cm3

***

No. 4
Ac2Pm4Nd after structural relaxation, computed with GGA-PBE.

a b c (Å): 5.7572 5.7572 18.2319
angles (deg): 90.00 90.00 90.00
Closest atoms and distances in Å follow each position.
Space group I4/mmm (No. 139)
Unique sites:
1 Ac 0.0000 0.0000 0.1281  5 Pm 3.64-3.71
2 Pm 0.0000 0.0000 0.3277  1 Nd 3.14
3 Pm 0.0000 0.5000 0.0000  2 Nd 2.88
4 Nd 0.0000 0.0000 0.5000  6 Pm 2.88-3.14

Crystal system   tetragonal
E   -4.005 eV/atom
Energy relative to the lowest polymorph listed for this composition   3.708 eV/f.u.
Calculated density   6.5 g/cm3
Formation energy   0.5647 eV/atom

***

No. 5
Cs2SrTcF6 after structural relaxation, computed with GGA-PBE.

a b c (Å): 9.1576 9.1576 9.1576
angles (deg): 90.00 90.00 90.00
Closest atoms and distances in Å follow each position.
Space group Fm-3m (No. 225)
Unique sites:
1 Cs 0.2500 0.2500 0.2500  12 F 3.24
2 Sr 0.0000 0.0000 0.0000  6 F 2.41
3 Tc 0.0000 0.0000 0.5000  6 F 2.17
4 F 0.0000 0.0000 0.2631  1 Tc 2.17, 1 Sr 2.41

Crystal system   cubic
E   -5.067 eV/atom
Formation energy (no corrections)   -2.569 eV/atom
Calculated density   4.9 g/cm3

***

No. 6
Mg2ZnPb after structural relaxation, computed with GGA-PBE.

a b c (Å): 3.3266 3.3266 8.0374
angles (deg): 90.00 90.00 90.00
Closest atoms and distances in Å follow each position.
Space group P4/mmm (No. 123)
Unique sites:
1 Mg 0.0000 0.0000 0.2111  4 Zn 2.90
2 Zn 0.5000 0.5000 0.0000  8 Mg 2.90
3 Pb 0.5000 0.5000 0.5000  8 Mg 3.31, 4 Pb 3.33

Crystal system   tetragonal
E   -2.096 eV/atom
Calculated density   6.0 g/cm3
Formation energy   -0.0528 eV/atom

***

No. 7
PrBi4 after structural relaxation, computed with GGA-PBE.

a b c (Å): 7.3225 10.9214 4.4152
angles (deg): 90.00 90.00 90.00
Closest atoms and distances in Å follow each position.
Space group Pbam (No. 55)
Unique sites:
1 Pr 0.0000 0.0000 0.0000  8 Bi 3.32-3.41
2 Bi 0.1625 0.2842 0.0000  4 Bi 3.21-3.57, 2 Pr 3.32-3.41
3 Bi 0.1792 0.5997 0.5000  5 Bi 3.21-3.57, 2 Pr 3.40

Crystal system   orthorhombic
E   -4.289 eV/atom
Energy relative to the lowest polymorph listed for this composition   0.000 eV/f.u.
Calculated density   9.2 g/cm3
Formation energy   -0.2288 eV/atom

***

No. 8
Mn3BeRe after structural relaxation, computed with GGA-PBE.

a b c (Å): 3.8441 3.8441 3.8441
angles (deg): 90.00 90.00 90.00
Closest atoms and distances in Å follow each position.
Space group Pm-3m (No. 221)
Unique sites:
1 Mn 0.0000 0.0000 0.5000  2 Be 1.92
2 Be 0.0000 0.0000 0.0000  6 Mn 1.92
3 Re 0.5000 0.5000 0.5000  12 Mn 2.72

Crystal system   cubic
E   -8.142 eV/atom
Energy relative to the lowest polymorph listed for this composition   0.000 eV/f.u.
Calculated density   10.5 g/cm3
Formation energy   0.5944 eV/atom